Sm2Y3Ag3, optimized geometry, DFT PBE-GGA; M_tot = 0.00 μB/f.u.; VASP energy = -4.89 eV/atom
1.0
3.674 0.000 -0.592
-0.199 5.127 -1.233
-0.061 0.005 11.323
Y Ag Sm
3 3 2
direct
0.500 0.000 0.000
0.619 0.619 0.237
0.381 0.381 0.763
0.885 0.885 0.771
0.000 0.500 0.000
0.115 0.115 0.229
0.269 0.769 0.538
0.731 0.231 0.462